# 1
A geometry-optimized Zr2PdBr structure. Source: Alexandria via LeMat-Bulk, functional GGA-PBE.

Cell and atoms, written as POSCAR:
```
Zr2PdBr
1.0
0.000 3.403 3.403
3.403 0.000 3.403
3.403 3.403 0.000
Zr Pd Br
2 1 1
Cartesian
1.701 1.701 1.701 Zr
5.104 5.104 5.104 Zr
0.000 0.000 0.000 Pd
3.403 3.403 3.403 Br
```

Results
As for the spin magnetization: 0.000 μB/atom. The calculation puts the excess energy over the best structure of this formula in the dataset at 0.000 eV per atom.

# 2
A geometry-optimized ZrPd3Br structure. Source: Alexandria via LeMat-Bulk, functional GGA-PBE.

Cell and atoms, written as POSCAR:
```
ZrPd3Br
1.0
5.005 0.000 0.000
0.000 5.005 0.000
0.000 0.000 5.005
Zr Pd Br
1 3 1
Cartesian
0.000 0.000 0.000 Zr
0.000 0.000 2.503 Pd
0.000 2.503 0.000 Pd
2.503 0.000 0.000 Pd
2.503 2.503 2.503 Br
```

Results
As for the spin magnetization: 0.000 μB/atom. The calculation puts the excess energy over the best structure of this formula in the dataset at 0.082 eV per atom.

# 3
A geometry-optimized ZrPdBr3 structure. Source: Alexandria via LeMat-Bulk, functional GGA-PBE.

Cell and atoms, written as POSCAR:
```
ZrPdBr3
1.0
5.299 0.000 0.000
0.000 5.299 0.000
0.000 0.000 5.299
Zr Pd Br
1 1 3
Cartesian
0.000 0.000 0.000 Zr
2.649 2.649 2.649 Pd
0.000 0.000 2.649 Br
0.000 2.649 0.000 Br
2.649 0.000 0.000 Br
```

Results
As for the spin magnetization: 0.000 μB/atom. The calculation puts the excess energy over the best structure of this formula in the dataset at 0.000 eV per atom.

# 4
A geometry-optimized ZrPd3Br structure. Source: Alexandria via LeMat-Bulk, functional GGA-PBE.

Cell and atoms, written as POSCAR:
```
ZrPd3Br
1.0
4.729 0.000 0.000
0.000 4.729 0.000
0.000 0.000 4.729
Zr Pd Br
1 3 1
Cartesian
0.000 0.000 0.000 Zr
0.000 2.364 2.364 Pd
2.364 0.000 2.364 Pd
2.364 2.364 0.000 Pd
2.364 2.364 2.364 Br
```

Results
As for the spin magnetization: 0.000 μB/atom. The calculation puts the excess energy over the best structure of this formula in the dataset at 0.000 eV per atom.

# 5
A geometry-optimized Zr2PdBr8 structure. Source: Alexandria via LeMat-Bulk, functional GGA-PBE.

Cell and atoms, written as POSCAR:
```
Zr2PdBr8
1.0
6.395 -5.228 0.000
6.395 5.228 0.000
-0.643 0.000 7.016
Zr Pd Br
2 1 8
Cartesian
2.129 0.000 2.204 Zr
10.018 0.000 4.812 Zr
0.000 0.000 0.000 Pd
4.459 3.065 5.767 Br
1.590 0.000 4.651 Br
7.688 3.065 1.248 Br
4.606 0.000 1.917 Br
7.541 0.000 5.098 Br
4.459 -3.065 5.767 Br
10.557 0.000 2.364 Br
7.688 -3.065 1.248 Br
```

Results
As for the spin magnetization: 0.001 μB/atom.

# 6
A geometry-optimized Pm4Br structure. Source: Alexandria via LeMat-Bulk, functional GGA-PBE.

Cell and atoms, written as POSCAR:
```
Pm4Br
1.0
5.602 0.000 0.000
0.000 5.602 0.000
0.000 0.000 5.602
Pm Br
4 1
Cartesian
0.000 0.000 0.000 Pm
0.000 2.801 2.801 Pm
2.801 0.000 2.801 Pm
2.801 2.801 0.000 Pm
2.801 2.801 2.801 Br
```

Results
As for the spin magnetization: 0.000 μB/atom.

no.,formation energy from raw total energies (eV/atom)
1,-0.29
2,0.64
3,-0.31
4,0.56
5,-1.09
6,-0.27